DFT (GGA-PBE) results for a relaxed Na2ZnHg2 crystal.

Geometry as POSCAR:
```
Na2ZnHg2
1.0
5.547 -2.331 0.000
5.547 2.331 0.000
-4.781 0.000 10.059
Na Zn Hg
4 2 4
direct
0.006 0.006 0.337
0.188 0.188 0.108
0.812 0.812 0.892
0.994 0.994 0.663
0.286 0.286 0.652
0.714 0.714 0.348
0.350 0.350 0.429
0.478 0.478 0.122
0.522 0.522 0.878
0.650 0.650 0.571
```

Properties
SG: C2/m (12)
polymorph energy (0 for the lowest one): 0 meV per atom
volume: 260.18 Å³ per cell
energy of formation: -154 meV per atom



DFT (GGA-PBE) results for a relaxed Na7ZnHg4 crystal.

Geometry as POSCAR:
```
Na7ZnHg4
1.0
6.251 0.000 0.000
-0.340 6.260 0.000
-2.382 -1.015 8.401
Na Zn Hg
7 1 4
direct
0.000 0.000 0.000
0.219 0.355 0.387
0.256 0.887 0.557
0.481 0.721 0.906
0.519 0.279 0.094
0.744 0.113 0.443
0.781 0.645 0.613
0.000 0.500 0.000
0.141 0.307 0.740
0.369 0.772 0.232
0.631 0.228 0.768
0.859 0.693 0.260
```

Properties
SG: P-1 (2)
volume: 328.77 Å³ per cell
energy of formation: -140 meV per atom



DFT (GGA-PBE) results for a relaxed Na4ZnHg3 crystal.

Geometry as POSCAR:
```
Na4ZnHg3
1.0
0.000 3.865 6.857
3.832 0.000 6.857
3.832 3.865 0.000
Na Zn Hg
4 1 3
direct
0.124 0.124 0.376
0.376 0.376 0.124
0.624 0.624 0.876
0.876 0.876 0.624
0.000 0.000 0.000
0.242 0.242 0.758
0.500 0.500 0.500
0.758 0.758 0.242
```

Properties
SG: Fmmm (69)
volume: 203.14 Å³ per cell
energy of formation: -154 meV per atom



DFT (GGA-PBE) results for a relaxed NaZn2Hg crystal.

Geometry as POSCAR:
```
NaZn2Hg
1.0
-4.033 4.033 2.869
4.033 -4.033 2.869
4.033 4.033 -2.869
Na Zn Hg
2 4 2
direct
0.000 0.000 0.000
0.750 0.250 0.500
0.156 0.625 0.031
0.375 0.406 0.531
0.594 0.125 0.969
0.875 0.844 0.469
0.250 0.750 0.500
0.500 0.500 0.000
```

Properties
SG: I-42d (122)
volume: 186.67 Å³ per cell
energy of formation: 106 meV per atom